Entry 1:
# PBE Mg2IrS, relaxed
data_Mg2IrS
_symmetry_space_group_name_H-M 'P 1'
_symmetry_Int_Tables_number 1
_cell_length_a 7.0461
_cell_length_b 7.0461
_cell_length_c 5.7071
_cell_angle_alpha 51.88
_cell_angle_beta 51.88
_cell_angle_gamma 90.00
loop_
_symmetry_equiv_pos_as_xyz
'x,y,z'
loop_
_atom_site_label
_atom_site_fract_x
_atom_site_fract_y
_atom_site_fract_z
_atom_site_occupancy
S1 0.5000 0.5000 0.0000 1
S2 0.2500 0.7500 0.5000 1
Ir1 0.0000 0.0000 0.0000 1
Ir2 0.7500 0.2500 0.5000 1
Mg1 0.6000 0.1250 0.2500 1
Mg2 0.1500 0.6250 0.2500 1
Mg3 0.3750 0.4000 0.7500 1
Mg4 0.8750 0.8500 0.7500 1
# - Symmetry: I-42d (122)


Entry 2:
# PBE MgIrS2, relaxed
data_MgIrS2
_symmetry_space_group_name_H-M 'P 1'
_symmetry_Int_Tables_number 1
_cell_length_a 5.3429
_cell_length_b 5.3429
_cell_length_c 6.9186
_cell_angle_alpha 67.29
_cell_angle_beta 67.29
_cell_angle_gamma 90.00
loop_
_symmetry_equiv_pos_as_xyz
'x,y,z'
loop_
_atom_site_label
_atom_site_fract_x
_atom_site_fract_y
_atom_site_fract_z
_atom_site_occupancy
S1 0.6536 0.1250 0.2500 1
S2 0.0964 0.6250 0.2500 1
S3 0.3750 0.3464 0.7500 1
S4 0.8750 0.9036 0.7500 1
Ir1 0.0000 0.0000 0.0000 1
Ir2 0.7500 0.2500 0.5000 1
Mg1 0.5000 0.5000 0.0000 1
Mg2 0.2500 0.7500 0.5000 1
# - Symmetry: I-42d (122)


Entry 3:
# PBE MgIrS3, relaxed
data_MgIrS3
_symmetry_space_group_name_H-M 'P 1'
_symmetry_Int_Tables_number 1
_cell_length_a 4.6835
_cell_length_b 4.6835
_cell_length_c 4.6835
_cell_angle_alpha 90.00
_cell_angle_beta 90.00
_cell_angle_gamma 90.00
loop_
_symmetry_equiv_pos_as_xyz
'x,y,z'
loop_
_atom_site_label
_atom_site_fract_x
_atom_site_fract_y
_atom_site_fract_z
_atom_site_occupancy
S1 0.0000 0.5000 0.0000 1
S2 0.0000 0.0000 0.5000 1
S3 0.5000 0.0000 0.0000 1
Ir1 0.0000 0.0000 0.0000 1
Mg1 0.5000 0.5000 0.5000 1
# - Symmetry: Pm-3m (221)
# - Polymorph energy (0 for the lowest one): 0.000 eV/atom


Entry 4:
# PBE MgIrS2, relaxed
data_MgIrS2
_symmetry_space_group_name_H-M 'P 1'
_symmetry_Int_Tables_number 1
_cell_length_a 7.6771
_cell_length_b 7.6771
_cell_length_c 7.6771
_cell_angle_alpha 27.23
_cell_angle_beta 27.23
_cell_angle_gamma 27.23
loop_
_symmetry_equiv_pos_as_xyz
'x,y,z'
loop_
_atom_site_label
_atom_site_fract_x
_atom_site_fract_y
_atom_site_fract_z
_atom_site_occupancy
S1 0.8859 0.8859 0.8859 1
S2 0.1141 0.1141 0.1141 1
Ir1 0.5000 0.5000 0.5000 1
Mg1 0.0000 0.0000 0.0000 1
# - Symmetry: R-3m (166)


E / eV/atom: -4.18; -5.11; -4.36; -5.03
Energy relative to the elements, uncorrected / eV/f.u.: -0.55; -1.73; 1.02; -1.41